Entry 1:
5
Lattice="5.361 0.000 0.000 0.000 5.361 0.000 0.000 0.000 5.361" Properties=species:S:1:pos:R:3 comment="SCAN Y3ReF, PBEsol geometry" density_g_cm3=5.1 magnetic_moment_mub_per_fu=0.60 formation_energy_uncorrected_ev_per_atom=-0.060 pbc="T T T"
Y 0.000 0.000 2.680
Y 0.000 2.680 0.000
Y 2.680 0.000 0.000
Re 0.000 0.000 0.000
F 2.680 2.680 2.680

---

Entry 2:
5
Lattice="4.231 0.000 0.000 0.000 4.231 0.000 0.000 0.000 4.231" Properties=species:S:1:pos:R:3 comment="SCAN ZrRe3F, PBEsol geometry" density_g_cm3=14.7 magnetic_moment_mub_per_fu=0.00 formation_energy_uncorrected_ev_per_atom=0.878 pbc="T T T"
Zr 0.000 0.000 0.000
Re 0.000 2.115 2.115
Re 2.115 0.000 2.115
Re 2.115 2.115 0.000
F 2.115 2.115 2.115

---

Entry 3:
4
Lattice="0.000 3.210 3.210 3.210 0.000 3.210 3.210 3.210 0.000" Properties=species:S:1:pos:R:3 comment="SCAN Zr2ReF, PBEsol geometry" density_g_cm3=9.7 magnetic_moment_mub_per_fu=0.00 formation_energy_uncorrected_ev_per_atom=-0.573 pbc="T T T"
Zr 1.605 1.605 1.605
Zr 4.815 4.815 4.815
Re 0.000 0.000 0.000
F 3.210 3.210 3.210

---

Entry 4:
48
Lattice="5.544 0.000 0.000 0.000 9.764 0.000 -2.424 0.000 12.031" Properties=species:S:1:pos:R:3 comment="SCAN RhF5, PBEsol geometry" density_g_cm3=4.0 magnetic_moment_mub_per_fu=2.00 formation_energy_uncorrected_ev_per_atom=-1.466 pbc="T T T"
Rh -1.181 2.416 5.960
Rh -2.393 2.467 11.975
Rh 1.173 0.025 2.422
Rh -0.039 4.857 8.438
Rh 3.159 4.907 3.593
Rh 1.947 9.739 9.609
Rh 5.513 7.298 0.056
Rh 4.301 7.349 6.071
F -1.676 5.530 8.901
F -0.464 9.116 2.885
F 0.168 6.539 1.713
F -1.044 8.107 7.728
F 0.230 1.642 1.750
F -0.983 3.240 7.765
F -0.284 0.936 6.559
F 0.928 3.946 0.544
F -0.257 5.722 6.652
F 0.955 8.924 0.637
F -0.854 6.635 11.509
F 0.358 8.012 5.494
F -0.834 1.638 11.485
F 0.378 3.244 5.470
F 1.364 0.869 4.038
F 0.151 4.013 10.053
F 1.592 5.611 4.225
F 0.380 9.036 10.241
F 0.819 6.343 9.078
F 2.032 8.304 3.062
F 1.088 1.461 8.969
F 2.301 3.422 2.953
F 2.740 0.729 1.790
F 1.528 4.153 7.806
F 2.969 5.751 1.978
F 1.756 8.895 7.993
F 2.742 6.520 6.561
F 3.954 8.126 0.546
F 2.762 1.752 6.537
F 3.974 3.130 0.522
F 2.165 0.840 11.394
F 3.377 4.042 5.379
F 2.192 5.818 11.488
F 3.404 8.828 5.472
F 4.103 6.524 4.266
F 2.890 8.122 10.281
F 4.164 1.657 4.303
F 2.952 3.225 10.318
F 3.584 0.648 9.146
F 4.796 4.234 3.130

---

Entry 5:
12
Lattice="5.043 0.000 0.000 -2.521 4.367 0.000 0.000 0.000 7.127" Properties=species:S:1:pos:R:3 comment="SCAN RhF3, PBEsol geometry" density_g_cm3=5.1 magnetic_moment_mub_per_fu=0.00 formation_energy_uncorrected_ev_per_atom=-1.665 pbc="T T T"
Rh 0.000 0.000 0.000
Rh 0.000 2.911 4.712
Rh 2.521 1.456 2.416
F -0.916 1.586 3.564
F -1.559 3.134 5.859
F 0.587 1.450 5.859
F 0.963 1.234 1.268
F 1.832 0.000 3.564
F 1.605 2.781 3.564
F 0.972 4.150 5.859
F 3.493 0.217 1.268
F 3.108 2.917 1.268

---

Entry 6:
8
Lattice="2.435 1.406 4.522 -2.435 1.406 4.522 0.000 -2.812 4.522" Properties=species:S:1:pos:R:3 comment="SCAN RhF3, PBEsol geometry" density_g_cm3=5.7 magnetic_moment_mub_per_fu=0.00 formation_energy_uncorrected_ev_per_atom=-1.807 pbc="T T T"
Rh 0.000 0.000 0.000
Rh 0.000 0.000 6.784
F -1.620 0.005 5.653
F -0.815 -1.401 7.914
F 0.806 -1.406 5.653
F -0.806 1.406 7.914
F 0.815 1.401 5.653
F 1.620 -0.005 7.914

---

Entry 7:
4
Lattice="0.000 2.887 2.887 2.887 0.000 2.887 2.887 2.887 0.000" Properties=species:S:1:pos:R:3 comment="SCAN RhS2F, PBEsol geometry" polymorph_energy_mev_per_atom=0 density_g_cm3=6.4 magnetic_moment_mub_per_fu=0.00 formation_energy_uncorrected_ev_per_atom=-0.288 pbc="T T T"
Rh 0.000 0.000 0.000
S 1.444 1.444 1.444
S 4.331 4.331 4.331
F 2.887 2.887 2.887

---

Entry 8:
8
Lattice="-2.898 2.898 4.290 2.898 -2.898 4.290 2.898 2.898 -4.290" Properties=species:S:1:pos:R:3 comment="SCAN RhS2F, PBEsol geometry" polymorph_energy_mev_per_atom=24 density_g_cm3=4.3 magnetic_moment_mub_per_fu=0.00 formation_energy_uncorrected_ev_per_atom=-0.265 pbc="T T T"
Rh 0.000 0.000 0.000
Rh 0.000 2.898 2.145
S 1.449 1.226 -1.073
S 1.673 -1.449 5.363
S 1.449 1.673 3.218
S 1.226 4.348 1.073
F 2.898 0.000 2.145
F 0.000 0.000 4.290

---

Entry 9:
5
Lattice="4.786 0.000 0.000 0.000 4.786 0.000 0.000 0.000 3.635" Properties=species:S:1:pos:R:3 comment="SCAN RhSe2SF, PBEsol geometry" density_g_cm3=6.2 magnetic_moment_mub_per_fu=0.00 formation_energy_uncorrected_ev_per_atom=0.316 pbc="T T T"
Rh 0.000 0.000 0.000
Se 0.000 2.393 1.817
Se 2.393 0.000 1.817
S 2.393 2.393 1.817
F 2.393 2.393 0.000

---

Entry 10:
5
Lattice="5.001 0.000 0.000 0.000 5.001 0.000 0.000 0.000 4.486" Properties=species:S:1:pos:R:3 comment="SCAN Sr2SbRhF, PBEsol geometry" density_g_cm3=6.2 magnetic_moment_mub_per_fu=0.00 formation_energy_uncorrected_ev_per_atom=-1.202 pbc="T T T"
Sr 0.000 2.500 0.000
Sr 2.500 0.000 0.000
Sb 0.000 0.000 2.243
Rh 2.500 2.500 2.243
F 2.500 2.500 0.000

---

Entry 11:
5
Lattice="4.585 0.000 0.000 0.000 4.585 0.000 0.000 0.000 5.070" Properties=species:S:1:pos:R:3 comment="SCAN Sb2TeRhF, PBEsol geometry" density_g_cm3=7.7 magnetic_moment_mub_per_fu=0.00 formation_energy_uncorrected_ev_per_atom=0.324 pbc="T T T"
Sb 0.000 2.292 0.000
Sb 2.292 0.000 0.000
Te 0.000 0.000 2.535
Rh 2.292 2.292 2.535
F 0.000 0.000 0.000

---

Entry 12:
4
Lattice="0.000 3.171 3.171 3.171 0.000 3.171 3.171 3.171 0.000" Properties=species:S:1:pos:R:3 comment="SCAN Sc2RhF, PBEsol geometry" density_g_cm3=5.5 magnetic_moment_mub_per_fu=0.00 formation_energy_uncorrected_ev_per_atom=-1.286 pbc="T T T"
Sc 1.585 1.585 1.585
Sc 4.756 4.756 4.756
Rh 0.000 0.000 0.000
F 3.171 3.171 3.171

---

Entry 13:
5
Lattice="4.591 0.000 0.000 0.000 4.591 0.000 0.000 0.000 4.480" Properties=species:S:1:pos:R:3 comment="SCAN SrRhSeF2, PBEsol geometry" density_g_cm3=5.4 magnetic_moment_mub_per_fu=0.00 formation_energy_uncorrected_ev_per_atom=-1.320 pbc="T T T"
Sr 0.000 0.000 0.000
Rh 2.295 2.295 0.000
Se 2.295 2.295 2.240
F 0.000 2.295 2.240
F 2.295 0.000 2.240

---

Entry 14:
5
Lattice="4.194 0.000 0.000 0.000 4.194 0.000 0.000 0.000 4.684" Properties=species:S:1:pos:R:3 comment="SCAN ZrRhSeF2, PBEsol geometry" density_g_cm3=6.3 magnetic_moment_mub_per_fu=0.71 formation_energy_uncorrected_ev_per_atom=-0.498 pbc="T T T"
Zr 0.000 0.000 0.000
Rh 2.097 2.097 0.000
Se 2.097 2.097 2.342
F 0.000 2.097 2.342
F 2.097 0.000 2.342

---

Entry 15:
4
Lattice="0.000 2.872 2.872 2.872 0.000 2.872 2.872 2.872 0.000" Properties=species:S:1:pos:R:3 comment="SCAN SiRh2F, PBEsol geometry" density_g_cm3=8.9 magnetic_moment_mub_per_fu=0.00 formation_energy_uncorrected_ev_per_atom=-0.670 pbc="T T T"
Si 0.000 0.000 0.000
Rh 1.436 1.436 1.436
Rh 4.308 4.308 4.308
F 2.872 2.872 2.872

---

Entry 16:
40
Lattice="5.486 0.000 0.000 0.000 11.545 0.000 -0.093 0.000 8.681" Properties=species:S:1:pos:R:3 comment="SCAN Sr2RhF7, PBEsol geometry" density_g_cm3=5.0 magnetic_moment_mub_per_fu=0.15 formation_energy_uncorrected_ev_per_atom=-3.264 pbc="T T T"
Sr 1.220 0.691 1.316
Sr 1.174 5.082 5.657
Sr 1.276 8.138 0.431
Sr 1.229 9.179 4.771
Sr 4.164 2.366 3.910
Sr 4.117 3.407 8.250
Sr 4.219 6.463 3.024
Sr 4.172 10.854 7.365
Rh 1.646 1.542 5.932
Rh 1.693 4.231 1.592
Rh 3.700 7.314 7.089
Rh 3.746 10.003 2.749
F 0.006 2.649 6.234
F 0.052 3.124 1.893
F 0.543 6.998 4.424
F 0.590 10.319 0.084
F 0.687 5.935 1.533
F 0.640 11.383 5.874
F 1.243 1.921 4.042
F 1.196 3.851 8.382
F 2.045 6.368 7.556
F 2.091 10.949 3.216
F 2.213 1.164 7.792
F 2.260 4.608 3.452
F 2.625 8.350 2.671
F 2.578 8.968 7.012
F 2.814 2.577 1.669
F 2.768 3.195 6.010
F 3.133 6.937 5.229
F 3.180 10.381 0.889
F 3.301 0.596 5.466
F 3.348 5.177 1.125
F 4.196 7.694 0.299
F 4.150 9.624 4.639
F 4.752 0.162 2.807
F 4.706 5.610 7.148
F 4.803 1.226 8.597
F 4.850 4.547 4.257
F 5.340 8.421 6.788
F 5.387 8.896 2.447

---

Entry 17:
5
Lattice="4.600 0.000 0.000 0.000 4.600 0.000 0.000 0.000 4.634" Properties=species:S:1:pos:R:3 comment="SCAN SrZnRh2F, PBEsol geometry" density_g_cm3=6.4 magnetic_moment_mub_per_fu=1.73 formation_energy_uncorrected_ev_per_atom=-0.216 pbc="T T T"
Sr 0.000 0.000 0.000
Zn 2.300 2.300 2.317
Rh 0.000 2.300 2.317
Rh 2.300 0.000 2.317
F 2.300 2.300 0.000

---

Entry 18:
5
Lattice="-1.632 1.632 5.942 1.632 -1.632 5.942 1.632 1.632 -5.942" Properties=species:S:1:pos:R:3 comment="SCAN TaRh2F2, PBEsol geometry" density_g_cm3=11.1 magnetic_moment_mub_per_fu=0.84 formation_energy_uncorrected_ev_per_atom=-0.884 pbc="T T T"
Ta 0.000 0.000 0.000
Rh 0.000 0.000 4.589
Rh 0.000 0.000 7.295
F 1.632 0.000 2.971
F 0.000 1.632 2.971

---

Entry 19:
5
Lattice="4.147 0.000 0.000 0.000 4.147 0.000 0.000 0.000 4.147" Properties=species:S:1:pos:R:3 comment="SCAN TcRhF3, PBEsol geometry" density_g_cm3=6.0 magnetic_moment_mub_per_fu=5.92 formation_energy_uncorrected_ev_per_atom=-0.498 pbc="T T T"
Tc 0.000 0.000 0.000
Rh 2.073 2.073 2.073
F 0.000 2.073 2.073
F 2.073 0.000 2.073
F 2.073 2.073 0.000

---

Entry 20:
5
Lattice="4.199 0.000 0.000 0.000 4.199 0.000 0.000 0.000 4.199" Properties=species:S:1:pos:R:3 comment="SCAN TeRhF3, PBEsol geometry" density_g_cm3=6.5 magnetic_moment_mub_per_fu=2.01 formation_energy_uncorrected_ev_per_atom=-0.834 pbc="T T T"
Te 0.000 0.000 0.000
Rh 2.099 2.099 2.099
F 0.000 2.099 2.099
F 2.099 0.000 2.099
F 2.099 2.099 0.000